[1]
DyNiBi | GGA-PBEsol | optimized geometry

Lattice parameters (Å, degrees): 4.5096 4.5096 4.5096 60.00 60.00 60.00
With the nearest neighbours (Å) after each atom.
Fractional positions:
Dy1 0.0000 0.0000 0.0000  4 Ni 2.76
Ni1 0.2500 0.2500 0.2500  4 Bi 2.76, 4 Dy 2.76
Bi1 0.5000 0.5000 0.5000  4 Ni 2.76

Properties
Calculated density, g/cm3: 11.0
Formation energy from the elements, eV per formula unit: -2.162

---

[2]
CuAg2SnF | GGA-PBEsol | optimized geometry

Lattice parameters (Å, degrees): 4.8529 4.8529 3.7214 90.00 90.00 90.00
With the nearest neighbours (Å) after each atom.
Fractional positions:
Cu1 0.0000 0.0000 0.0000  2 F 1.86
Ag1 0.0000 0.5000 0.5000  2 F 2.43
Ag2 0.5000 0.0000 0.5000  2 F 2.43
Sn1 0.5000 0.5000 0.0000  8 Ag 3.06
F1 0.0000 0.0000 0.5000  2 Cu 1.86

Properties
Calculated density, g/cm3: 7.9
Formation energy without anion corrections, eV per atom: -0.07

---

[3]
Sc2ReMo | GGA-PBEsol | optimized geometry

Lattice parameters (Å, degrees): 2.8379 2.8379 9.4669 90.00 90.00 110.43
With the nearest neighbours (Å) after each atom.
Fractional positions:
Sc1 0.0000 0.0000 0.0000  2 Re 2.73, 4 Sc 2.84
Sc2 0.5000 0.5000 0.3103  2 Mo 2.81, 4 Sc 2.84
Re1 0.5000 0.5000 0.7672  2 Mo 2.59, 2 Sc 2.73, 4 Re 2.84
Mo1 0.0000 0.0000 0.5531  2 Re 2.59, 2 Sc 2.81, 4 Mo 2.84

Properties
Calculated density, g/cm3: 8.6
Formation energy from the elements, eV per formula unit: 0.548

---

[4]
CaZrN2 | GGA-PBEsol | optimized geometry

Lattice parameters (Å, degrees): 5.8775 5.8775 5.8775 32.49 32.49 32.49
With the nearest neighbours (Å) after each atom.
Fractional positions:
Ca1 0.0000 0.0000 0.0000  6 N 2.47
Zr1 0.5000 0.5000 0.5000  6 N 2.24
N1 0.2384 0.2384 0.2384  3 Zr 2.24, 3 Ca 2.47
N2 0.7616 0.7616 0.7616  3 Zr 2.24, 3 Ca 2.47

Properties
Calculated density, g/cm3: 5.1
Formation energy without anion corrections, eV per atom: -1.69

---

[5]
MnPtAu2 | GGA-PBEsol | optimized geometry

Lattice parameters (Å, degrees): 4.8658 4.8658 4.8658 132.02 132.02 70.19
With the nearest neighbours (Å) after each atom.
Fractional positions:
Mn1 0.0000 0.0000 0.0000  8 Au 2.80-2.81, 4 Pt 2.81
Pt1 0.2500 0.7500 0.5000  8 Au 2.80-2.81, 4 Mn 2.81
Au1 0.5000 0.5000 0.0000  4 Mn 2.80, 4 Pt 2.81, 4 Au 2.81
Au2 0.7500 0.2500 0.5000  4 Pt 2.80, 4 Au 2.81, 4 Mn 2.81

Properties
Calculated density, g/cm3: 17.2
Formation energy from the elements, eV per formula unit: -0.433

---

[6]
CuTc2W | GGA-PBEsol | optimized geometry

Lattice parameters (Å, degrees): 2.7167 2.7167 7.5222 90.00 90.00 90.00
With the nearest neighbours (Å) after each atom.
Fractional positions:
Cu1 0.0000 0.0000 0.0000  4 Tc 2.67, 4 W 2.67, 4 Cu 2.72
Tc1 0.0000 0.0000 0.5196  8 Tc 2.61-2.72, 4 W 2.81
Tc2 0.5000 0.5000 0.7540  8 Tc 2.61-2.72, 4 Cu 2.67
W1 0.5000 0.5000 0.2467  4 Cu 2.67, 4 W 2.72, 4 Tc 2.81

Properties
Calculated density, g/cm3: 13.3
Formation energy from the elements, eV per formula unit: 0.978

---

[7]
CsPb3 | GGA-PBEsol | optimized geometry

Lattice parameters (Å, degrees): 7.8951 7.8951 5.6767 90.00 90.00 120.00
With the nearest neighbours (Å) after each atom.
Fractional positions:
Cs1 0.3333 0.6667 0.2500  12 Pb 3.95-3.97
Cs2 0.6667 0.3333 0.7500  12 Pb 3.95-3.97
Pb1 0.1330 0.2659 0.7500  6 Pb 3.15-3.37
Pb2 0.1330 0.8670 0.7500  6 Pb 3.15-3.37
Pb3 0.2659 0.1330 0.2500  6 Pb 3.15-3.37
Pb4 0.7341 0.8670 0.7500  6 Pb 3.15-3.37
Pb5 0.8670 0.1330 0.2500  6 Pb 3.15-3.37
Pb6 0.8670 0.7341 0.2500  6 Pb 3.15-3.37

Properties
Calculated density, g/cm3: 8.2
Formation energy from the elements, eV per formula unit: -0.448

---

[8]
Au | GGA-PBEsol | optimized geometry

Lattice parameters (Å, degrees): 2.8813 2.8813 2.8813 60.00 60.00 60.00
With the nearest neighbours (Å) after each atom.
Fractional positions:
Au1 0.0000 0.0000 0.0000  12 Au 2.88

Properties
Calculated density, g/cm3: 19.3
Formation energy from the elements, eV per formula unit: 0.000

---

[9]
CrIrCl2 | GGA-PBEsol | optimized geometry

Lattice parameters (Å, degrees): 4.4317 4.4317 4.4317 60.00 60.00 60.00
With the nearest neighbours (Å) after each atom.
Fractional positions:
Cr1 0.0000 0.0000 0.0000  4 Cl 2.71, 4 Ir 2.71
Ir1 0.7500 0.7500 0.7500  4 Cr 2.71, 4 Cl 2.71
Cl1 0.2500 0.2500 0.2500  4 Cr 2.71, 4 Cl 2.71
Cl2 0.5000 0.5000 0.5000  4 Cl 2.71, 4 Ir 2.71

Properties
Calculated density, g/cm3: 8.5
Formation energy without anion corrections, eV per atom: 0.77

---

[10]
Sc2CoSi2 | GGA-PBEsol | optimized geometry

Lattice parameters (Å, degrees): 5.2659 5.2659 9.3380 116.61 116.61 43.62
With the nearest neighbours (Å) after each atom.
Fractional positions:
Sc1 0.0003 0.0003 0.1717  6 Si 2.68-2.84, 4 Co 2.77-2.92
Sc2 0.9997 0.9997 0.8283  6 Si 2.68-2.84, 4 Co 2.77-2.92
Sc3 0.1840 0.1840 0.6048  6 Si 2.67-2.89
Sc4 0.8160 0.8160 0.3952  6 Si 2.67-2.89
Co1 0.2743 0.2743 0.1241  4 Si 2.25-2.37
Co2 0.7257 0.7257 0.8759  4 Si 2.25-2.37
Si1 0.3545 0.3545 0.9304  3 Co 2.25-2.29, 1 Si 2.49
Si2 0.4886 0.4886 0.6260  1 Co 2.37, 1 Si 2.47
Si3 0.5114 0.5114 0.3740  1 Co 2.37, 1 Si 2.47
Si4 0.6455 0.6455 0.0696  3 Co 2.25-2.29, 1 Si 2.49

Properties
Calculated density, g/cm3: 4.4
Formation energy without anion corrections, eV per atom: -0.90

---

[11]
VBO4 | GGA-PBEsol | optimized geometry

Lattice parameters (Å, degrees): 5.0583 5.0583 5.0583 121.03 121.03 88.23
With the nearest neighbours (Å) after each atom.
Fractional positions:
V1 0.0000 0.0000 0.0000  4 O 1.70
B1 0.7500 0.2500 0.5000  4 O 1.46
O1 0.4054 0.0633 0.1998  1 B 1.46
O2 0.7944 0.5946 0.6580  1 B 1.46
O3 0.8635 0.2056 0.8002  1 B 1.46
O4 0.9367 0.1365 0.3420  1 B 1.46

Properties
Calculated density, g/cm3: 2.3
Formation energy without anion corrections, eV per atom: -2.35

---

[12]
AgSbTe2Pd | GGA-PBEsol | optimized geometry

Lattice parameters (Å, degrees): 5.3072 5.3072 5.1470 90.00 90.00 90.00
With the nearest neighbours (Å) after each atom.
Fractional positions:
Ag1 0.0000 0.0000 0.0000  2 Sb 2.57, 4 Te 2.65
Sb1 0.0000 0.0000 0.5000  2 Ag 2.57
Te1 0.0000 0.5000 0.0000  2 Ag 2.65
Te2 0.5000 0.0000 0.0000  2 Ag 2.65
Pd1 0.5000 0.5000 0.5000  8 Te 3.70, 4 Sb 3.75

Properties
Calculated density, g/cm3: 6.8
Formation energy without anion corrections, eV per atom: 0.90

---

[13]
InGaSb2 | GGA-PBEsol | optimized geometry

Lattice parameters (Å, degrees): 4.4561 4.4561 6.3356 90.00 90.00 90.00
With the nearest neighbours (Å) after each atom.
Fractional positions:
In1 0.0000 0.0000 0.0000  4 Sb 2.80
Ga1 0.5000 0.5000 0.5000  4 Sb 2.67
Sb1 0.0000 0.5000 0.2671  2 Ga 2.67, 2 In 2.80
Sb2 0.5000 0.0000 0.7329  2 Ga 2.67, 2 In 2.80

Properties
Calculated density, g/cm3: 5.7
Formation energy without anion corrections, eV per atom: -0.09

---

[14]
AlRuPb | GGA-PBEsol | optimized geometry

Lattice parameters (Å, degrees): 4.3743 4.3743 4.3743 60.00 60.00 60.00
With the nearest neighbours (Å) after each atom.
Fractional positions:
Al1 0.0000 0.0000 0.0000  4 Ru 2.68
Ru1 0.2500 0.2500 0.2500  4 Pb 2.68, 4 Al 2.68
Pb1 0.5000 0.5000 0.5000  4 Ru 2.68

Properties
Calculated density, g/cm3: 9.4
Formation energy from the elements, eV per formula unit: 0.559